(1)
Below is a geometry-optimized Ho5Ge3C structure, with properties calculated at the PBEsol level.

CIF file:
```
data_Ho5Ge3C
_cell_length_a 6.303
_cell_length_b 8.367
_cell_length_c 8.367
_cell_angle_alpha 120.00
_cell_angle_beta 90.00
_cell_angle_gamma 90.00
_space_group_name_H-M_alt 'P 1'
_space_group_IT_number 1
_space_group_name_Hall 'P 1'
loop_
_atom_site_label
_atom_site_fract_x
_atom_site_fract_y
_atom_site_fract_z
Ho1 0.500 0.667 0.333
Ho2 0.500 0.333 0.667
Ho3 0.000 0.333 0.667
Ho4 0.000 0.667 0.333
Ho5 0.750 0.222 0.222
Ho6 0.750 0.000 0.778
Ho7 0.750 0.778 0.000
Ho8 0.250 0.778 0.778
Ho9 0.250 0.000 0.222
Ho10 0.250 0.222 0.000
Ge1 0.750 0.592 0.592
Ge2 0.750 0.000 0.408
Ge3 0.750 0.408 0.000
Ge4 0.250 0.408 0.408
Ge5 0.250 0.000 0.592
Ge6 0.250 0.592 0.000
C1 0.500 0.000 0.000
C2 0.000 0.000 0.000
```

Calculated values
theoretical density: 9.165 Mg/m³
space-group type: No. 193
calculated volume: 21.230 Å³ per atom
formation energy: -0.783 eV/atom

=====

(2)
Below is a geometry-optimized CdH6C2O6 structure, with properties calculated at the PBEsol level.

CIF file:
```
data_CdH6C2O6
_cell_length_a 7.244
_cell_length_b 8.980
_cell_length_c 9.753
_cell_angle_alpha 97.03
_cell_angle_beta 90.00
_cell_angle_gamma 90.00
_space_group_name_H-M_alt 'P 1'
_space_group_IT_number 1
_space_group_name_Hall 'P 1'
loop_
_atom_site_label
_atom_site_fract_x
_atom_site_fract_y
_atom_site_fract_z
Cd1 0.500 0.500 0.000
Cd2 0.000 0.500 0.500
Cd3 0.000 0.000 0.000
Cd4 0.500 0.000 0.500
H1 0.343 0.542 0.276
H2 0.843 0.458 0.224
H3 0.657 0.458 0.724
H4 0.157 0.542 0.776
H5 0.396 0.705 0.231
H6 0.896 0.295 0.269
H7 0.604 0.295 0.769
H8 0.104 0.705 0.731
H9 0.632 0.764 0.963
H10 0.132 0.236 0.537
H11 0.368 0.236 0.037
H12 0.868 0.764 0.463
H13 0.416 0.799 0.988
H14 0.916 0.201 0.512
H15 0.584 0.201 0.012
H16 0.084 0.799 0.488
H17 0.036 0.673 0.133
H18 0.536 0.327 0.367
H19 0.964 0.327 0.867
H20 0.464 0.673 0.633
H21 0.245 0.067 0.258
H22 0.745 0.933 0.242
H23 0.755 0.933 0.742
H24 0.255 0.067 0.758
C1 0.896 0.670 0.086
C2 0.396 0.330 0.414
C3 0.104 0.330 0.914
C4 0.604 0.670 0.586
C5 0.190 0.962 0.709
C6 0.690 0.038 0.791
C7 0.810 0.038 0.291
C8 0.310 0.962 0.209
O1 0.355 0.601 0.195
O2 0.855 0.399 0.305
O3 0.645 0.399 0.805
O4 0.145 0.601 0.695
O5 0.504 0.734 0.929
O6 0.004 0.266 0.571
O7 0.496 0.266 0.071
O8 0.996 0.734 0.429
O9 0.847 0.779 0.022
O10 0.347 0.221 0.478
O11 0.153 0.221 0.978
O12 0.653 0.779 0.522
O13 0.796 0.557 0.099
O14 0.296 0.443 0.401
O15 0.204 0.443 0.901
O16 0.704 0.557 0.599
O17 0.267 0.914 0.086
O18 0.767 0.086 0.414
O19 0.733 0.086 0.914
O20 0.233 0.914 0.586
O21 0.423 0.895 0.280
O22 0.923 0.105 0.220
O23 0.577 0.105 0.720
O24 0.077 0.895 0.780
```

Calculated values
theoretical density: 2.516 Mg/m³
space-group type: No. 14
calculated volume: 10.494 Å³ per atom
energy: -5.78 eV per atom

=====

(3)
Below is a geometry-optimized BeCrSb2 structure, with properties calculated at the PBEsol level.

CIF file:
```
data_BeCrSb2
_cell_length_a 3.159
_cell_length_b 3.159
_cell_length_c 7.297
_cell_angle_alpha 90.00
_cell_angle_beta 90.00
_cell_angle_gamma 90.00
_space_group_name_H-M_alt 'P 1'
_space_group_IT_number 1
_space_group_name_Hall 'P 1'
loop_
_atom_site_label
_atom_site_fract_x
_atom_site_fract_y
_atom_site_fract_z
Sb1 0.000 0.000 0.910
Sb2 0.500 0.500 0.330
Be1 0.000 0.000 0.564
Cr1 0.500 0.500 0.696
```

Calculated values
theoretical density: 6.943 Mg/m³
space-group type: No. 99
calculated volume: 18.208 Å³ per atom
E_form (uncorrected): 1.19 eV per formula unit

=====

(4)
Below is a geometry-optimized Rb2CrPt structure, with properties calculated at the PBEsol level.

CIF file:
```
data_Rb2CrPt
_cell_length_a 5.546
_cell_length_b 5.546
_cell_length_c 5.546
_cell_angle_alpha 60.00
_cell_angle_beta 60.00
_cell_angle_gamma 60.00
_space_group_name_H-M_alt 'P 1'
_space_group_IT_number 1
_space_group_name_Hall 'P 1'
loop_
_atom_site_label
_atom_site_fract_x
_atom_site_fract_y
_atom_site_fract_z
Cr1 0.000 0.000 0.000
Rb1 0.250 0.250 0.250
Rb2 0.750 0.750 0.750
Pt1 0.500 0.500 0.500
```

Calculated values
theoretical density: 5.755 Mg/m³
space-group type: No. 225
calculated volume: 30.156 Å³ per atom
formation energy: 1.051 eV/atom

=====

(5)
Below is a geometry-optimized YHg2SBr structure, with properties calculated at the PBEsol level.

CIF file:
```
data_YHg2SBr
_cell_length_a 5.290
_cell_length_b 5.357
_cell_length_c 5.357
_cell_angle_alpha 90.00
_cell_angle_beta 90.00
_cell_angle_gamma 90.00
_space_group_name_H-M_alt 'P 1'
_space_group_IT_number 1
_space_group_name_Hall 'P 1'
loop_
_atom_site_label
_atom_site_fract_x
_atom_site_fract_y
_atom_site_fract_z
Y1 0.500 0.000 0.000
S1 0.500 0.500 0.500
Hg1 0.000 0.000 0.500
Hg2 0.000 0.500 0.000
Br1 0.000 0.000 0.000
```

Calculated values
theoretical density: 6.586 Mg/m³
space-group type: No. 123
calculated volume: 30.361 Å³ per atom
E_form (uncorrected): 1.51 eV per formula unit

=====

(6)
Below is a geometry-optimized AgAu5 structure, with properties calculated at the PBEsol level.

CIF file:
```
data_AgAu5
_cell_length_a 2.859
_cell_length_b 2.859
_cell_length_c 12.355
_cell_angle_alpha 90.00
_cell_angle_beta 90.00
_cell_angle_gamma 90.00
_space_group_name_H-M_alt 'P 1'
_space_group_IT_number 1
_space_group_name_Hall 'P 1'
loop_
_atom_site_label
_atom_site_fract_x
_atom_site_fract_y
_atom_site_fract_z
Au1 0.000 0.000 0.665
Au2 0.500 0.500 0.833
Au3 0.000 0.000 0.000
Au4 0.500 0.500 0.167
Au5 0.000 0.000 0.335
Ag1 0.500 0.500 0.500
```

Calculated values
theoretical density: 17.969 Mg/m³
space-group type: No. 123
calculated volume: 16.830 Å³ per atom
formation energy: -0.019 eV/atom

=====

(7)
Below is a geometry-optimized NaCaI2O structure, with properties calculated at the PBEsol level.

CIF file:
```
data_NaCaI2O
_cell_length_a 4.304
_cell_length_b 6.131
_cell_length_c 6.131
_cell_angle_alpha 90.00
_cell_angle_beta 90.00
_cell_angle_gamma 90.00
_space_group_name_H-M_alt 'P 1'
_space_group_IT_number 1
_space_group_name_Hall 'P 1'
loop_
_atom_site_label
_atom_site_fract_x
_atom_site_fract_y
_atom_site_fract_z
I1 0.000 0.000 0.500
I2 0.000 0.500 0.000
Na1 0.500 0.500 0.500
Ca1 0.000 0.000 0.000
O1 0.500 0.000 0.000
```

Calculated values
theoretical density: 3.416 Mg/m³
space-group type: No. 123
calculated volume: 32.359 Å³ per atom
E_form (uncorrected): -5.84 eV per formula unit

=====

(8)
Below is a geometry-optimized Ca2TcAs structure, with properties calculated at the PBEsol level.

CIF file:
```
data_Ca2TcAs
_cell_length_a 3.308
_cell_length_b 3.308
_cell_length_c 8.355
_cell_angle_alpha 90.00
_cell_angle_beta 90.00
_cell_angle_gamma 90.00
_space_group_name_H-M_alt 'P 1'
_space_group_IT_number 1
_space_group_name_Hall 'P 1'
loop_
_atom_site_label
_atom_site_fract_x
_atom_site_fract_y
_atom_site_fract_z
As1 0.500 0.500 0.688
Ca1 0.000 0.000 0.924
Ca2 0.500 0.500 0.320
Tc1 0.000 0.000 0.568
```

Calculated values
theoretical density: 4.597 Mg/m³
space-group type: No. 99
calculated volume: 22.854 Å³ per atom
formation energy: -0.247 eV/atom

=====

(9)
Below is a geometry-optimized BeTe2Mo structure, with properties calculated at the PBEsol level.

CIF file:
```
data_BeTe2Mo
_cell_length_a 3.292
_cell_length_b 3.292
_cell_length_c 7.950
_cell_angle_alpha 90.00
_cell_angle_beta 90.00
_cell_angle_gamma 116.90
_space_group_name_H-M_alt 'P 1'
_space_group_IT_number 1
_space_group_name_Hall 'P 1'
loop_
_atom_site_label
_atom_site_fract_x
_atom_site_fract_y
_atom_site_fract_z
Be1 0.500 0.500 0.500
Mo1 0.500 0.500 0.000
Te1 0.000 0.000 0.267
Te2 0.000 0.000 0.733
```

Calculated values
theoretical density: 7.784 Mg/m³
space-group type: No. 65
calculated volume: 19.207 Å³ per atom
E_form (uncorrected): 2.87 eV per formula unit

=====

(10)
Below is a geometry-optimized K2AgPb structure, with properties calculated at the PBEsol level.

CIF file:
```
data_K2AgPb
_cell_length_a 4.804
_cell_length_b 4.992
_cell_length_c 6.696
_cell_angle_alpha 90.00
_cell_angle_beta 110.93
_cell_angle_gamma 90.00
_space_group_name_H-M_alt 'P 1'
_space_group_IT_number 1
_space_group_name_Hall 'P 1'
loop_
_atom_site_label
_atom_site_fract_x
_atom_site_fract_y
_atom_site_fract_z
Pb1 0.326 0.000 0.526
K1 0.030 0.000 0.936
K2 0.724 0.500 0.322
Ag1 0.420 0.500 0.716
```

Calculated values
theoretical density: 4.354 Mg/m³
space-group type: No. 6
calculated volume: 37.496 Å³ per atom
formation energy: 0.010 eV/atom

=====

(11)
Below is a geometry-optimized Ba2AlSn2F11 structure, with properties calculated at the PBEsol level.

CIF file:
```
data_Ba2AlSn2F11
_cell_length_a 7.622
_cell_length_b 7.622
_cell_length_c 15.250
_cell_angle_alpha 90.00
_cell_angle_beta 90.00
_cell_angle_gamma 120.00
_space_group_name_H-M_alt 'P 1'
_space_group_IT_number 1
_space_group_name_Hall 'P 1'
loop_
_atom_site_label
_atom_site_fract_x
_atom_site_fract_y
_atom_site_fract_z
Ba1 0.180 0.033 0.353
Ba2 0.517 0.640 0.210
Ba3 0.967 0.147 0.020
Ba4 0.123 0.483 0.544
Ba5 0.360 0.877 0.877
Ba6 0.853 0.820 0.686
Al1 0.464 0.169 0.127
Al2 0.831 0.295 0.793
Al3 0.705 0.536 0.460
Sn1 0.087 0.724 0.107
Sn2 0.917 0.327 0.279
Sn3 0.410 0.083 0.612
Sn4 0.276 0.363 0.773
Sn5 0.673 0.590 0.946
Sn6 0.637 0.913 0.440
F1 0.989 0.853 0.934
F2 0.117 0.411 0.159
F3 0.147 0.136 0.600
F4 0.497 0.568 0.505
F5 0.248 0.070 0.771
F6 0.959 0.139 0.810
F7 0.071 0.503 0.839
F8 0.180 0.041 0.143
F9 0.930 0.178 0.437
F10 0.297 0.349 0.910
F11 0.432 0.929 0.172
F12 0.864 0.011 0.267
F13 0.394 0.048 0.022
F14 0.592 0.806 0.992
F15 0.952 0.346 0.688
F16 0.294 0.883 0.492
F17 0.455 0.385 0.084
F18 0.651 0.948 0.577
F19 0.780 0.515 0.570
F20 0.654 0.606 0.355
F21 0.485 0.265 0.236
F22 0.214 0.408 0.326
F23 0.194 0.786 0.659
F24 0.615 0.070 0.751
F25 0.052 0.703 0.244
F26 0.822 0.752 0.104
F27 0.589 0.706 0.826
F28 0.729 0.270 0.110
F29 0.730 0.459 0.777
F30 0.735 0.220 0.903
F31 0.861 0.820 0.476
F32 0.930 0.545 0.417
F33 0.541 0.271 0.444
```

Calculated values
theoretical density: 4.857 Mg/m³
space-group type: No. 145
calculated volume: 15.982 Å³ per atom
E_form (uncorrected): -51.00 eV per formula unit